Compound: ZrCd2Sb
Source: Alexandria via LeMat-Bulk
Functional: GGA-PBE
Structure: optimized geometry Values from VASP.

Properties
The value obtained for the total energy is -3.723 eV per atom. The uncorrected formation energy comes out at -0.10 eV/atom. The total magnetization comes out at 0.000 μB per formula unit.

Quantum ESPRESSO input file:
```
&SYSTEM
  ibrav = 0, nat = 4, ntyp = 3
/
ATOMIC_SPECIES
Zr 91.22 Zr.upf
Cd 112.41 Cd.upf
Sb 121.76 Sb.upf
ATOMIC_POSITIONS crystal
Zr 0.500 0.500 0.759
Cd 0.500 0.500 0.219
Cd 0.000 0.000 0.991
Sb 0.000 0.000 0.531
CELL_PARAMETERS angstrom
3.147 0.252 0.000
-0.253 3.147 0.000
0.000 0.000 9.688
```